DFT (GGA+U) results for a relaxed NaMo3P3O13 crystal.

Calculated values
Calculated total energy in eV per atom: -7.211

a = 7.6095 Å, b = 6.6836 Å, c = 10.9244 Å
α = 90.00°, β = 98.90°, γ = 90.00°
Closest atoms and distances in Å follow each position.
Element x y z (fractional)
Na: 0.1582 0.2500 0.1983  7 O 2.58-2.79
Na: 0.8418 0.7500 0.8017  7 O 2.58-2.79
Mo: 0.1468 0.2500 0.7927  5 O 1.92-2.12
Mo: 0.2668 0.7500 0.4480  5 O 2.09-2.14
Mo: 0.5000 0.0000 0.0000  6 O 2.13-2.19
Mo: 0.5000 0.5000 0.0000  6 O 2.13-2.19
Mo: 0.7332 0.2500 0.5520  5 O 2.09-2.14
Mo: 0.8532 0.7500 0.2073  5 O 1.92-2.12
P: 0.1848 0.7500 0.1202  4 O 1.53-1.58
P: 0.2502 0.7500 0.7679  4 O 1.52-1.60
P: 0.2824 0.2500 0.5118  4 O 1.54-1.58
P: 0.7176 0.7500 0.4882  4 O 1.54-1.58
P: 0.7498 0.2500 0.2321  4 O 1.52-1.60
P: 0.8152 0.2500 0.8798  4 O 1.53-1.58
O: 0.0110 0.2500 0.9476  1 P 1.56
O: 0.1359 0.5663 0.7888  1 P 1.54
O: 0.1359 0.9337 0.7888  1 P 1.54
O: 0.1441 0.7500 0.2579  1 P 1.58
O: 0.1455 0.2500 0.6069  1 P 1.58
O: 0.2442 0.0655 0.4273  1 P 1.54
O: 0.2442 0.4345 0.4273  1 P 1.54
O: 0.2837 0.5567 0.0981  1 P 1.53
O: 0.2837 0.9433 0.0981  1 P 1.53
O: 0.3201 0.7500 0.6446  1 P 1.52
O: 0.3714 0.2500 0.9006  3 Mo 1.92-2.14
O: 0.4193 0.7500 0.8750  1 P 1.60
O: 0.4712 0.2500 0.5883  1 P 1.55
O: 0.5288 0.7500 0.4117  1 P 1.55
O: 0.5807 0.2500 0.1250  1 P 1.60
O: 0.6286 0.7500 0.0994  3 Mo 1.92-2.14
O: 0.6799 0.2500 0.3554  1 P 1.52
O: 0.7163 0.0567 0.9019  1 P 1.53
O: 0.7163 0.4433 0.9019  1 P 1.53
O: 0.7558 0.5655 0.5727  1 P 1.54
O: 0.7558 0.9345 0.5727  1 P 1.54
O: 0.8545 0.7500 0.3931  1 P 1.58
O: 0.8559 0.2500 0.7421  1 P 1.58
O: 0.8641 0.0663 0.2112  1 P 1.54
O: 0.8641 0.4337 0.2112  1 P 1.54
O: 0.9890 0.7500 0.0524  1 P 1.56